No. 1
A relaxed KTbHg6 crystal. Source: the Alexandria database, functional PBE.

Cell lengths 5.313, 6.990, 5.667 Å; angles 90.00, 90.00, 90.00 degrees
Atoms (fractional coordinates):
K 0.000 0.000 0.000
Tb 0.500 0.500 0.320
Hg 0.000 0.267 0.494
Hg 0.000 0.500 0.997
Hg 0.000 0.733 0.494
Hg 0.500 0.000 0.388
Hg 0.500 0.269 0.837
Hg 0.500 0.731 0.837

Calculated values
As for the crystal system: orthorhombic. The value obtained for the formation energy from the elements is -235 meV/atom. The calculation puts the calculated volume at 26.3 Å³/atom.

***

No. 2
A relaxed KTb2HgTe4 crystal. Source: the Alexandria database, functional PBE.

Cell lengths 7.896, 7.896, 16.452 Å; angles 90.00, 90.00, 147.26 degrees
Atoms (fractional coordinates):
K 0.140 0.860 0.750
K 0.860 0.140 0.250
Tb 0.377 0.623 0.572
Tb 0.377 0.623 0.928
Tb 0.623 0.377 0.072
Tb 0.623 0.377 0.428
Hg 0.168 0.832 0.250
Hg 0.832 0.168 0.750
Te 0.000 0.000 0.000
Te 0.000 0.000 0.500
Te 0.265 0.735 0.094
Te 0.265 0.735 0.406
Te 0.462 0.538 0.750
Te 0.538 0.462 0.250
Te 0.735 0.265 0.594
Te 0.735 0.265 0.906

Calculated values
As for the crystal system: orthorhombic. The formation energy without anion corrections comes out at -0.997 eV/atom. The calculation puts the calculated volume at 34.7 Å³/atom.

***

No. 3
A relaxed K2TcHg crystal. Source: the Alexandria database, functional PBE.

Cell lengths 4.384, 4.397, 5.629 Å; angles 90.00, 90.00, 90.00 degrees
Atoms (fractional coordinates):
K 0.000 0.000 0.000
K 0.500 0.500 0.000
Tc 0.000 0.500 0.500
Hg 0.500 0.000 0.500

Calculated values
As for the crystal system: orthorhombic. The value obtained for the formation energy from the elements is 972 meV/atom. The calculation puts the calculated volume at 27.1 Å³/atom.

***

No. 4
A relaxed K2TcHg crystal. Source: the Alexandria database, functional PBE.

Cell lengths 6.298, 6.298, 3.325 Å; angles 90.23, 90.23, 121.12 degrees
Atoms (fractional coordinates):
K 0.000 0.500 0.000
K 0.500 0.000 0.000
Tc 0.000 0.000 0.500
Hg 0.500 0.500 0.500

Calculated values
As for the crystal system: monoclinic. The value obtained for the formation energy from the elements is 956 meV/atom. The calculation puts the calculated volume at 28.2 Å³/atom.

***

No. 5
A relaxed K2TcHg crystal. Source: the Alexandria database, functional PBE.

Cell lengths 2.967, 2.967, 11.608 Å; angles 90.00, 90.00, 90.00 degrees
Atoms (fractional coordinates):
K 0.000 0.000 0.235
K 0.000 0.000 0.765
Tc 0.500 0.500 0.000
Hg 0.500 0.500 0.500

Calculated values
As for the crystal system: tetragonal. The value obtained for the formation energy from the elements is 892 meV/atom. The calculation puts the calculated volume at 25.5 Å³/atom.

***

No. 6
A relaxed K2TcHg crystal. Source: the Alexandria database, functional PBE.

Cell lengths 12.070, 12.070, 12.070 Å; angles 15.05, 15.05, 15.05 degrees
Atoms (fractional coordinates):
K 0.245 0.245 0.245
K 0.755 0.755 0.755
Tc 0.500 0.500 0.500
Hg 0.000 0.000 0.000

Calculated values
As for the crystal system: trigonal. The value obtained for the formation energy from the elements is 955 meV/atom. The calculation puts the calculated volume at 25.8 Å³/atom.

***

No. 7
A relaxed K4TcHg crystal. Source: the Alexandria database, functional PBE.

Cell lengths 7.287, 7.287, 7.287 Å; angles 60.00, 60.00, 60.00 degrees
Atoms (fractional coordinates):
K 0.125 0.125 0.125
K 0.125 0.125 0.626
K 0.125 0.626 0.125
K 0.626 0.125 0.125
Tc 0.750 0.750 0.750
Hg 0.500 0.500 0.500

Calculated values
As for the crystal system: cubic. The value obtained for the formation energy from the elements is 972 meV/atom. The calculation puts the calculated volume at 45.6 Å³/atom.

***

No. 8
A relaxed K2TcHg crystal. Source: the Alexandria database, functional PBE.

Cell lengths 5.474, 5.474, 5.474 Å; angles 120.07, 120.07, 89.88 degrees
Atoms (fractional coordinates):
K 0.000 0.000 0.000
K 0.750 0.250 0.500
Tc 0.250 0.750 0.500
Hg 0.500 0.500 0.000

Calculated values
As for the crystal system: tetragonal. The value obtained for the formation energy from the elements is 940 meV/atom. The calculation puts the calculated volume at 29.0 Å³/atom.

***

No. 9
A relaxed K2TcHg crystal. Source: the Alexandria database, functional PBE.

Cell lengths 3.172, 5.285, 7.269 Å; angles 90.00, 90.00, 90.00 degrees
Atoms (fractional coordinates):
K 0.000 0.000 0.243
K 0.000 0.000 0.757
Tc 0.500 0.500 0.000
Hg 0.500 0.500 0.500

Calculated values
As for the crystal system: orthorhombic. The value obtained for the formation energy from the elements is 961 meV/atom. The calculation puts the calculated volume at 30.5 Å³/atom.

***

No. 10
A relaxed K2TcHg crystal. Source: the Alexandria database, functional PBE.

Cell lengths 6.267, 6.267, 6.267 Å; angles 135.41, 124.30, 74.00 degrees
Atoms (fractional coordinates):
K 0.000 0.000 0.000
K 0.697 0.197 0.500
Tc 0.289 0.789 0.500
Hg 0.417 0.417 0.000

Calculated values
As for the crystal system: orthorhombic. The value obtained for the formation energy from the elements is 846 meV/atom. The calculation puts the calculated volume at 34.8 Å³/atom.

***

No. 11
A relaxed K2TcHg crystal. Source: the Alexandria database, functional PBE.

Cell lengths 6.119, 6.119, 5.511 Å; angles 98.03, 98.03, 28.59 degrees
Atoms (fractional coordinates):
K 0.249 0.249 0.253
K 0.751 0.751 0.747
Tc 0.000 0.000 0.500
Hg 0.500 0.500 0.000

Calculated values
As for the crystal system: monoclinic. The value obtained for the formation energy from the elements is 997 meV/atom. The calculation puts the calculated volume at 24.4 Å³/atom.

***

No. 12
A relaxed KTc4Hg crystal. Source: the Alexandria database, functional PBE.

Cell lengths 5.360, 5.360, 5.360 Å; angles 60.00, 60.00, 60.00 degrees
Atoms (fractional coordinates):
K 0.000 0.000 0.000
Tc 0.126 0.625 0.625
Tc 0.625 0.126 0.625
Tc 0.625 0.625 0.126
Tc 0.625 0.625 0.625
Hg 0.250 0.250 0.250

Calculated values
As for the crystal system: cubic. The value obtained for the formation energy from the elements is 959 meV/atom. The calculation puts the calculated volume at 18.1 Å³/atom.